PaSiNO: optimized geometry, PBE-GGA.

Summary:
Its symmetry is Pca2_1. The value obtained for the uncorrected energy is -124.64 eV/cell. The magnetic moment comes out at 1.386 μB/f.u.

Cell and atoms, written as extended XYZ:
```
16
Lattice="-5.336 -1.368 -1.086 0.704 -6.488 4.716 -1.495 2.702 3.940" Properties=species:S:1:pos:R:3 pbc="T T T"
N -1.256 -1.433 4.584
N -4.545 -4.310 2.129
N -1.929 -3.148 2.324
N -3.872 -2.595 4.389
O -5.105 -4.887 4.815
O -0.377 -1.431 1.059
O -2.837 -0.520 2.681
O -2.645 -5.799 3.193
Si -1.737 -0.181 5.745
Si -2.548 -1.932 3.458
Si -4.288 -1.941 5.984
Si -5.099 -3.691 3.696
Pa -2.834 -1.452 0.170
Pa 0.360 -5.610 4.232
Pa -2.662 -4.842 5.739
Pa -5.856 -0.684 1.677
```


PaSiNO: optimized geometry, PBE-GGA.

Summary:
Its symmetry is P4/nmm. The value obtained for the uncorrected energy is -62.23 eV/cell. The magnetic moment comes out at 1.099 μB/f.u.

Cell and atoms, written as extended XYZ:
```
8
Lattice="4.796 0.000 0.000 0.000 4.796 0.000 0.000 0.000 4.831" Properties=species:S:1:pos:R:3 pbc="T T T"
O 2.398 2.398 0.000
O 0.000 0.000 0.000
Pa 2.398 2.398 2.416
Pa 0.000 0.000 2.416
Si 0.000 2.398 4.739
Si 2.398 0.000 0.092
N 0.000 2.398 1.621
N 2.398 0.000 3.210
```


PaSiNO: optimized geometry, PBE-GGA.

Summary:
Its symmetry is Pbcm. The value obtained for the uncorrected energy is -128.69 eV/cell. The magnetic moment comes out at 0.777 μB/f.u.

Cell and atoms, written as extended XYZ:
```
16
Lattice="6.548 0.000 0.000 0.000 7.180 0.000 0.000 0.000 5.104" Properties=species:S:1:pos:R:3 pbc="T T T"
Si 5.504 5.781 2.812
Si 1.044 1.399 0.259
Si 2.230 1.399 2.812
Si 4.318 5.781 0.259
O 0.688 6.975 0.255
O 3.962 0.205 0.255
O 2.586 6.975 2.807
O 5.860 0.205 2.807
Pa 0.499 4.829 0.259
Pa 2.775 4.829 2.812
Pa 6.048 2.351 2.812
Pa 3.773 2.351 0.259
N 0.425 4.786 2.812
N 2.849 4.786 0.259
N 6.123 2.394 0.259
N 3.699 2.394 2.812
```